# PBE Tb7Pm3Pr2, relaxed
data_Tb7Pm3Pr2
_chemical_formula_sum 'Tb7 Pm3 Pr2'
_space_group_name_H-M_alt 'P 1'
_space_group_IT_number 1
_cell_length_a 5.8874
_cell_length_b 3.6082
_cell_length_c 19.0250
_cell_angle_alpha 90.00
_cell_angle_beta 93.27
_cell_angle_gamma 90.00
loop_
_space_group_symop_operation_xyz
'x,y,z'
loop_
_atom_site_label
_atom_site_type_symbol
_atom_site_fract_x
_atom_site_fract_y
_atom_site_fract_z
Tb1 Tb 0.0000 0.0000 0.0000
Tb2 Tb 0.1908 0.5000 0.1723
Tb3 Tb 0.2574 0.5000 0.5377
Tb4 Tb 0.3112 0.0000 0.8581
Tb5 Tb 0.6888 0.0000 0.1419
Tb6 Tb 0.7426 0.5000 0.4623
Tb7 Tb 0.8092 0.5000 0.8277
Pm1 Pm 0.2240 0.0000 0.3689
Pm2 Pm 0.5000 0.5000 0.0000
Pm3 Pm 0.7760 0.0000 0.6311
Pr1 Pr 0.2884 0.5000 0.7069
Pr2 Pr 0.7116 0.5000 0.2931
# formation energy: 0.0842 eV/atom
# crystal system: monoclinic

# PBE TbPm2Pr4, relaxed
data_TbPm2Pr4
_chemical_formula_sum 'Tb1 Pm2 Pr4'
_space_group_name_H-M_alt 'P 1'
_space_group_IT_number 1
_cell_length_a 9.0584
_cell_length_b 9.0584
_cell_length_c 9.0584
_cell_angle_alpha 37.43
_cell_angle_beta 37.43
_cell_angle_gamma 37.43
loop_
_space_group_symop_operation_xyz
'x,y,z'
loop_
_atom_site_label
_atom_site_type_symbol
_atom_site_fract_x
_atom_site_fract_y
_atom_site_fract_z
Tb1 Tb 0.0000 0.0000 0.0000
Pm1 Pm 0.1353 0.1353 0.1353
Pm2 Pm 0.8647 0.8647 0.8647
Pr1 Pr 0.2709 0.2709 0.2709
Pr2 Pr 0.4140 0.4140 0.4140
Pr3 Pr 0.5860 0.5860 0.5860
Pr4 Pr 0.7291 0.7291 0.7291
# formation energy: 0.1219 eV/atom
# crystal system: trigonal

# PBE Tb8Pm2Pr3, relaxed
data_Tb8Pm2Pr3
_chemical_formula_sum 'Tb8 Pm2 Pr3'
_space_group_name_H-M_alt 'P 1'
_space_group_IT_number 1
_cell_length_a 6.2523
_cell_length_b 6.2620
_cell_length_c 11.4131
_cell_angle_alpha 89.96
_cell_angle_beta 79.44
_cell_angle_gamma 80.37
loop_
_space_group_symop_operation_xyz
'x,y,z'
loop_
_atom_site_label
_atom_site_type_symbol
_atom_site_fract_x
_atom_site_fract_y
_atom_site_fract_z
Tb1 Tb 0.0373 0.0752 0.3436
Tb2 Tb 0.1922 0.3862 0.7335
Tb3 Tb 0.3464 0.6923 0.1143
Tb4 Tb 0.4236 0.8475 0.8096
Tb5 Tb 0.5764 0.1525 0.1904
Tb6 Tb 0.6536 0.3077 0.8857
Tb7 Tb 0.8078 0.6138 0.2665
Tb8 Tb 0.9627 0.9248 0.6564
Pm1 Pm 0.1157 0.2308 0.0380
Pm2 Pm 0.8843 0.7692 0.9620
Pr1 Pr 0.2686 0.5383 0.4214
Pr2 Pr 0.5000 0.0000 0.5000
Pr3 Pr 0.7314 0.4617 0.5786
# formation energy: 0.0177 eV/atom
# crystal system: triclinic

# PBE Tb6Pm3Pr, relaxed
data_Tb6Pm3Pr
_chemical_formula_sum 'Tb6 Pm3 Pr1'
_space_group_name_H-M_alt 'P 1'
_space_group_IT_number 1
_cell_length_a 6.9550
_cell_length_b 6.9550
_cell_length_c 6.9550
_cell_angle_alpha 91.52
_cell_angle_beta 91.52
_cell_angle_gamma 91.52
loop_
_space_group_symop_operation_xyz
'x,y,z'
loop_
_atom_site_label
_atom_site_type_symbol
_atom_site_fract_x
_atom_site_fract_y
_atom_site_fract_z
Tb1 Tb 0.9999 0.3270 0.6731
Tb2 Tb 0.1743 0.8258 0.4999
Tb3 Tb 0.3270 0.6731 0.9999
Tb4 Tb 0.4999 0.1743 0.8258
Tb5 Tb 0.6731 0.9999 0.3270
Tb6 Tb 0.8258 0.4999 0.1743
Pm1 Pm 0.2527 0.2527 0.2527
Pm2 Pm 0.5007 0.5007 0.5007
Pm3 Pm 0.7490 0.7490 0.7490
Pr1 Pr 0.0007 0.0007 0.0007
# formation energy: 0.2747 eV/atom
# crystal system: trigonal

# PBE Tb3PmPr6, relaxed
data_Tb3PmPr6
_chemical_formula_sum 'Tb6 Pm2 Pr12'
_space_group_name_H-M_alt 'P 1'
_space_group_IT_number 1
_cell_length_a 11.1963
_cell_length_b 11.1963
_cell_length_c 6.4628
_cell_angle_alpha 90.00
_cell_angle_beta 90.00
_cell_angle_gamma 120.64
loop_
_space_group_symop_operation_xyz
'x,y,z'
loop_
_atom_site_label
_atom_site_type_symbol
_atom_site_fract_x
_atom_site_fract_y
_atom_site_fract_z
Tb1 Tb 0.1170 0.8830 0.5000
Tb2 Tb 0.2091 0.4427 0.8721
Tb3 Tb 0.4427 0.2091 0.3721
Tb4 Tb 0.5573 0.7909 0.8721
Tb5 Tb 0.7909 0.5573 0.3721
Tb6 Tb 0.8830 0.1170 0.0000
Pm1 Pm 0.3074 0.6926 0.5192
Pm2 Pm 0.6926 0.3074 0.0192
Pr1 Pr 0.0256 0.4420 0.2831
Pr2 Pr 0.1296 0.2089 0.4626
Pr3 Pr 0.2089 0.1296 0.9626
Pr4 Pr 0.2187 0.7813 0.0609
Pr5 Pr 0.4420 0.0256 0.7831
Pr6 Pr 0.4651 0.5349 0.2753
Pr7 Pr 0.5349 0.4651 0.7753
Pr8 Pr 0.5580 0.9744 0.2831
Pr9 Pr 0.7813 0.2187 0.5609
Pr10 Pr 0.7911 0.8704 0.4626
Pr11 Pr 0.8704 0.7911 0.9626
Pr12 Pr 0.9744 0.5580 0.7831
# formation energy: 0.1353 eV/atom
# crystal system: orthorhombic

# PBE Tb15Pm2Pr2, relaxed
data_Tb15Pm2Pr2
_chemical_formula_sum 'Tb15 Pm2 Pr2'
_space_group_name_H-M_alt 'P 1'
_space_group_IT_number 1
_cell_length_a 8.7795
_cell_length_b 8.7795
_cell_length_c 8.7795
_cell_angle_alpha 79.91
_cell_angle_beta 79.91
_cell_angle_gamma 79.91
loop_
_space_group_symop_operation_xyz
'x,y,z'
loop_
_atom_site_label
_atom_site_type_symbol
_atom_site_fract_x
_atom_site_fract_y
_atom_site_fract_z
Tb1 Tb 0.0000 0.0000 0.5000
Tb2 Tb 0.0000 0.2991 0.7009
Tb3 Tb 0.0000 0.5000 0.0000
Tb4 Tb 0.0000 0.7009 0.2991
Tb5 Tb 0.1504 0.6299 0.6299
Tb6 Tb 0.2991 0.0000 0.7009
Tb7 Tb 0.2991 0.7009 0.0000
Tb8 Tb 0.3701 0.3701 0.8496
Tb9 Tb 0.3701 0.8496 0.3701
Tb10 Tb 0.5000 0.0000 0.0000
Tb11 Tb 0.6299 0.1504 0.6299
Tb12 Tb 0.6299 0.6299 0.1504
Tb13 Tb 0.7009 0.0000 0.2991
Tb14 Tb 0.7009 0.2991 0.0000
Tb15 Tb 0.8496 0.3701 0.3701
Pm1 Pm 0.0929 0.0929 0.0929
Pm2 Pm 0.9071 0.9071 0.9071
Pr1 Pr 0.3278 0.3278 0.3278
Pr2 Pr 0.6722 0.6722 0.6722
# formation energy: 0.2719 eV/atom
# crystal system: trigonal

# PBE TbPm5Pr2, relaxed
data_TbPm5Pr2
_chemical_formula_sum 'Tb2 Pm10 Pr4'
_space_group_name_H-M_alt 'P 1'
_space_group_IT_number 1
_cell_length_a 7.3103
_cell_length_b 14.6323
_cell_length_c 5.1593
_cell_angle_alpha 90.00
_cell_angle_beta 90.00
_cell_angle_gamma 90.00
loop_
_space_group_symop_operation_xyz
'x,y,z'
loop_
_atom_site_label
_atom_site_type_symbol
_atom_site_fract_x
_atom_site_fract_y
_atom_site_fract_z
Tb1 Tb 0.0000 0.0000 0.0000
Tb2 Tb 0.5000 0.5000 0.0000
Pm1 Pm 0.0000 0.5000 0.0000
Pm2 Pm 0.0009 0.2493 0.0000
Pm3 Pm 0.2494 0.6245 0.5000
Pm4 Pm 0.2506 0.1245 0.5000
Pm5 Pm 0.4991 0.7493 0.0000
Pm6 Pm 0.5000 0.0000 0.0000
Pm7 Pm 0.5009 0.2507 0.0000
Pm8 Pm 0.7494 0.8755 0.5000
Pm9 Pm 0.7506 0.3755 0.5000
Pm10 Pm 0.9991 0.7507 0.0000
Pr1 Pr 0.2490 0.8755 0.5000
Pr2 Pr 0.2510 0.3755 0.5000
Pr3 Pr 0.7490 0.6245 0.5000
Pr4 Pr 0.7510 0.1245 0.5000
# formation energy: 0.0140 eV/atom
# crystal system: orthorhombic

# PBE Tb3PmPr, relaxed
data_Tb3PmPr
_chemical_formula_sum 'Tb6 Pm2 Pr2'
_space_group_name_H-M_alt 'P 1'
_space_group_IT_number 1
_cell_length_a 6.5569
_cell_length_b 6.5739
_cell_length_c 9.6927
_cell_angle_alpha 90.21
_cell_angle_beta 109.08
_cell_angle_gamma 119.85
loop_
_space_group_symop_operation_xyz
'x,y,z'
loop_
_atom_site_label
_atom_site_type_symbol
_atom_site_fract_x
_atom_site_fract_y
_atom_site_fract_z
Tb1 Tb 0.0488 0.4853 0.1878
Tb2 Tb 0.1923 0.8472 0.5448
Tb3 Tb 0.3690 0.3580 0.8127
Tb4 Tb 0.6310 0.6420 0.1873
Tb5 Tb 0.8077 0.1528 0.4552
Tb6 Tb 0.9512 0.5147 0.8122
Pm1 Pm 0.2073 0.0596 0.1899
Pm2 Pm 0.7927 0.9404 0.8101
Pr1 Pr 0.5000 0.0000 0.0000
Pr2 Pr 0.5000 0.5000 0.5000
# formation energy: 0.1714 eV/atom
# crystal system: triclinic